No. 1
Below is LaAl2Tl after structural relaxation, with properties calculated at the PBE level.

Values from the calculation:
ΔE to the lowest computed polymorph, meV/atom: 238.8
E_form, kJ/mol of formula units: -11

POSCAR file:
```
LaAl2Tl
1.0
1.601 -4.436 -2.172
-1.920 -4.536 1.643
-3.219 -2.711 -3.042
Tl Al La
1 2 1
Cartesian
-1.769 -5.842 -1.785 Tl
-0.885 -2.921 -0.893 Al
-2.654 -8.762 -2.678 Al
0.000 0.000 0.000 La
```


No. 2
Below is KBeAs2Br after structural relaxation, with properties calculated at the PBE level.

Values from the calculation:
Energy relative to the elements, uncorrected, eV/atom: -0.19
ΔE to the lowest computed polymorph, meV/atom: 0.0

POSCAR file:
```
KBeAs2Br
1.0
4.374 0.000 0.000
0.000 4.374 0.000
0.000 0.000 8.110
Be As K Br
1 2 1 1
Cartesian
0.000 0.000 0.000 Be
0.000 2.187 0.000 As
2.187 0.000 0.000 As
2.187 2.187 4.055 K
0.000 0.000 4.055 Br
```


No. 3
Below is BaYMg6O8 after structural relaxation, with properties calculated at the PBE level.

Values from the calculation:
Energy relative to the elements, uncorrected, eV/atom: -2.33
ΔE to the lowest computed polymorph, meV/atom: 0.0

POSCAR file:
```
BaYMg6O8
1.0
4.766 0.000 0.000
0.000 4.766 0.000
0.000 0.000 9.083
Ba Y Mg O
1 1 6 8
Cartesian
2.383 2.383 0.000 Ba
0.000 0.000 0.000 Y
0.000 0.000 4.541 Mg
2.383 2.383 4.541 Mg
0.000 2.383 2.528 Mg
0.000 2.383 6.555 Mg
2.383 0.000 2.528 Mg
2.383 0.000 6.555 Mg
0.000 0.000 2.377 O
0.000 0.000 6.706 O
2.383 2.383 2.583 O
2.383 2.383 6.500 O
0.000 2.383 0.000 O
0.000 2.383 4.541 O
2.383 0.000 0.000 O
2.383 0.000 4.541 O
```


No. 4
Below is Rh2W after structural relaxation, with properties calculated at the PBE level.

Values from the calculation:
E_form, kJ/mol of formula units: -14

POSCAR file:
```
Rh2W
1.0
-3.066 2.767 1.447
2.470 -2.215 2.853
3.631 4.031 -0.014
Rh W
4 2
Cartesian
0.000 0.000 0.000 Rh
1.815 2.015 -0.007 Rh
1.532 0.453 2.381 Rh
1.502 4.129 1.905 Rh
3.348 2.468 2.374 W
-0.313 2.114 1.912 W
```